(1)
Compound: Ba2AuO4
Source: Alexandria via LeMat-Bulk
Functional: PBE
Structure: optimized geometry

Structure (POSCAR):
```
Ba2AuO4
1.0
-3.792 3.792 4.521
3.792 -3.792 4.521
3.792 3.792 -4.521
O Ba Au
8 4 2
Cartesian
0.000 1.806 2.878
3.792 -1.806 3.903
1.986 3.792 1.643
1.986 0.000 0.617
5.598 0.000 0.617
1.806 0.000 6.164
3.792 1.986 -1.643
3.792 1.806 3.903
1.896 3.792 -1.130
3.792 1.896 1.130
1.896 0.000 3.391
0.000 1.896 5.651
0.000 0.000 0.000
0.000 3.792 2.260
```

Calculated values
Energy relative to the elements, uncorrected = -1101 meV/atom

***

(2)
Compound: Tm2ScAu6
Source: Alexandria via LeMat-Bulk
Functional: PBE
Structure: optimized geometry

Structure (POSCAR):
```
Tm2ScAu6
1.0
5.113 0.085 0.807
2.278 4.307 1.692
0.002 -0.170 8.293
Au Sc Tm
6 1 2
Cartesian
4.964 2.863 5.824
5.388 2.162 2.939
4.645 0.641 7.813
2.748 3.580 2.978
2.004 2.060 7.852
2.429 1.359 4.967
0.001 -0.085 4.146
4.461 3.498 8.696
2.932 0.723 2.095
```

***

(3)
Compound: TbH3Pt3
Source: Alexandria via LeMat-Bulk
Functional: PBE
Structure: optimized geometry

Structure (POSCAR):
```
TbH3Pt3
1.0
4.727 0.000 0.000
0.000 5.486 -3.168
0.000 0.000 6.335
Pt Tb H
6 2 6
Cartesian
3.545 0.799 1.385
1.182 1.599 0.000
1.182 4.687 -1.783
1.182 4.687 1.783
3.545 0.799 4.951
3.545 3.888 3.167
3.545 3.658 0.000
1.182 1.829 3.168
1.182 3.040 -1.070
3.545 2.446 2.098
1.182 3.040 1.070
3.545 0.594 3.168
3.545 2.446 4.237
1.182 4.893 0.000
```

***

(4)
Compound: TlGaAg
Source: Alexandria via LeMat-Bulk
Functional: PBE
Structure: optimized geometry

Structure (POSCAR):
```
TlGaAg
1.0
3.335 0.000 0.000
0.000 4.836 0.000
0.000 -2.418 4.188
Tl Ag Ga
1 1 1
Cartesian
2.222 0.000 2.792
0.558 2.418 1.396
0.555 0.000 0.000
```

***

(5)
Compound: KHfMnCo2
Source: Alexandria via LeMat-Bulk
Functional: PBE
Structure: optimized geometry

Structure (POSCAR):
```
KHfMnCo2
1.0
-3.726 -2.236 -1.360
-1.252 -0.601 4.417
-2.310 3.922 -0.121
Co Mn Hf K
2 1 1 1
Cartesian
-1.155 1.961 -0.060
-1.863 -1.118 -0.680
0.000 0.000 0.000
-0.626 -0.300 2.209
-3.644 0.543 1.468
```

***

(6)
Compound: YBIO2
Source: Alexandria via LeMat-Bulk
Functional: PBE
Structure: optimized geometry

Structure (POSCAR):
```
YBIO2
1.0
-3.523 2.402 0.080
-0.131 -0.334 4.250
3.737 5.465 0.544
B O I Y
1 2 1 1
Cartesian
0.041 3.766 2.437
-0.065 -0.167 2.125
-1.762 1.201 0.040
1.868 2.732 0.272
0.000 0.000 0.000
```

Calculated values
Energy relative to the elements, uncorrected = -389 meV/atom

***

(7)
Compound: Ac4Sm3YS8
Source: Alexandria via LeMat-Bulk
Functional: PBE
Structure: optimized geometry

Structure (POSCAR):
```
Ac4Sm3YS8
1.0
-7.840 -2.466 0.292
2.525 -7.919 0.913
2.704 5.736 5.236
S Ac Y Sm
8 4 1 3
Cartesian
-1.353 -1.931 6.043
1.249 -3.587 3.242
-3.860 -1.062 3.199
-2.671 -4.815 3.425
0.060 0.166 3.016
-1.258 -2.719 0.399
-5.230 -3.968 0.547
2.619 -0.681 5.895
0.000 0.000 0.000
-3.920 -1.233 0.146
-2.568 1.635 2.764
1.352 2.868 2.618
1.262 -3.959 0.457
-1.305 -2.325 3.221
-2.657 -5.192 0.603
2.614 -1.092 3.075
```

Calculated values
Energy relative to the elements, uncorrected = -1999 meV/atom

***

(8)
Compound: LiNiI
Source: Alexandria via LeMat-Bulk
Functional: PBE
Structure: optimized geometry

Structure (POSCAR):
```
LiNiI
1.0
7.680 0.000 0.000
0.000 4.092 0.000
0.000 0.000 7.665
I Li Ni
4 4 4
Cartesian
1.750 3.069 3.856
5.930 1.023 3.808
5.590 3.069 7.641
2.090 1.023 0.024
7.303 1.023 6.319
4.216 3.069 2.487
0.377 3.069 1.345
3.463 1.023 5.177
5.863 1.023 1.367
2.023 1.023 2.465
5.657 3.069 5.200
1.817 3.069 6.297
```

Calculated values
Energy relative to the elements, uncorrected = -132 meV/atom

***

(9)
Compound: SiAsSe
Source: Alexandria via LeMat-Bulk
Functional: PBE
Structure: optimized geometry

Structure (POSCAR):
```
SiAsSe
1.0
-0.523 2.287 -2.424
1.408 -2.970 -0.758
-6.372 -2.717 -1.189
As Se Si
1 1 1
Cartesian
-5.712 -2.436 -1.066
-2.075 -2.429 -1.843
-4.072 -1.254 -2.652
```

Calculated values
Energy relative to the elements, uncorrected = 40 meV/atom

***

(10)
Compound: PrDyHoAl
Source: Alexandria via LeMat-Bulk
Functional: PBE
Structure: optimized geometry

Structure (POSCAR):
```
PrDyHoAl
1.0
3.543 0.000 0.000
0.000 3.543 0.000
0.000 0.000 9.116
Pr Ho Al Dy
1 1 1 1
Cartesian
0.000 0.000 0.659
1.772 1.772 3.313
0.000 0.000 5.197
1.772 1.772 7.100
```

***

(11)
Compound: Pr2NdSm2
Source: Alexandria via LeMat-Bulk
Functional: PBE
Structure: optimized geometry

Structure (POSCAR):
```
Pr2NdSm2
1.0
-1.755 6.163 -0.305
-2.860 2.908 7.750
3.880 4.820 7.585
Pr Nd Sm
4 2 4
Cartesian
-0.226 11.108 12.020
-0.442 6.210 4.404
-0.293 7.681 10.625
-0.509 2.782 3.009
1.465 6.905 7.499
-2.200 6.986 7.530
1.541 10.343 8.876
-2.276 3.548 6.154
1.385 3.484 6.121
-2.120 10.407 8.908
```

***

(12)
Compound: LiAcNiSn2
Source: Alexandria via LeMat-Bulk
Functional: PBE
Structure: optimized geometry

Structure (POSCAR):
```
LiAcNiSn2
1.0
-2.254 3.721 1.527
-4.020 -2.136 -0.730
3.277 -2.785 4.662
Ni Sn Li Ac
1 2 1 1
Cartesian
-1.940 -2.064 2.165
0.102 -1.453 3.691
-3.099 0.253 1.769
-1.057 0.864 3.294
0.000 0.000 0.000
```

***

The final energy results, record by record, are as follows: -4.952; -4.665; -5.266; -2.625; -5.853; -5.311; -6.378; -3.214; -4.479; -4.619; -4.722; -4.479 eV/atom.
The density of states at the Fermi level results, record by record, are as follows: 12.072; 4.216; 7.481; 0.595; 6.184; 2.865; 7.616; 0.726; 0.765; 3.327; 17.095; 3.703 states/eV per cell.